[1]
The following is a GGA-PBE calculation of an optimized crystal structure of BeHgSe2, from Alexandria.

Cell and atoms, written as POSCAR:
```
BeHgSe2
1.0
-0.611 1.686 -3.437
-0.462 -3.488 -1.628
-5.367 0.216 1.059
Se Be Hg
2 1 1
direct
0.500 0.500 0.500
0.000 0.000 0.000
0.000 0.000 0.500
0.500 0.500 0.000
```

Results
excess energy over the best structure of this formula in the dataset = 214 kJ/mol of formula units
E_tot = -10.66 eV per cell
D(E_F) = 1.2 states/eV per cell
magnetic moment = 0.00 Bohr magnetons per cell

=====

[2]
The following is a GGA-PBE calculation of an optimized crystal structure of BeHgSe2, from Alexandria.

Cell and atoms, written as POSCAR:
```
BeHgSe2
1.0
-2.881 2.604 2.821
-1.736 -0.789 -4.405
0.534 -4.285 2.097
Se Be Hg
2 1 1
direct
0.500 0.500 0.000
0.000 0.000 0.000
0.250 0.750 0.500
0.750 0.250 0.500
```

Results
excess energy over the best structure of this formula in the dataset = 379 kJ/mol of formula units
E_tot = -8.95 eV per cell
D(E_F) = 1.0 states/eV per cell
magnetic moment = 0.00 Bohr magnetons per cell

=====

[3]
The following is a GGA-PBE calculation of an optimized crystal structure of BeHgSe2, from Alexandria.

Cell and atoms, written as POSCAR:
```
BeHgSe2
1.0
3.947 -0.001 -0.001
-3.943 5.983 0.002
0.009 5.980 3.948
Se Hg Be
2 1 1
direct
0.454 0.867 0.282
0.063 0.975 0.781
0.258 0.172 0.281
0.759 0.171 0.782
```

Results
excess energy over the best structure of this formula in the dataset = 18 kJ/mol of formula units
E_tot = -12.69 eV per cell
D(E_F) = 0.0 states/eV per cell
magnetic moment = 0.00 Bohr magnetons per cell

=====

[4]
The following is a GGA-PBE calculation of an optimized crystal structure of BeHg3Se, from Alexandria.

Cell and atoms, written as POSCAR:
```
BeHg3Se
1.0
-3.182 -3.283 -1.751
-1.749 -0.715 4.517
-3.284 3.561 -0.708
Hg Se Be
3 1 1
direct
0.000 0.500 0.000
0.500 0.000 0.000
0.000 0.000 0.500
0.500 0.500 0.500
0.000 0.000 0.000
```

Results
excess energy over the best structure of this formula in the dataset = 0 kJ/mol of formula units
E_tot = -6.46 eV per cell
D(E_F) = 5.0 states/eV per cell
magnetic moment = 0.00 Bohr magnetons per cell